Record 1
Ce2SmAl6, optimized geometry, DFT PBE; total DFT energy (no corrections) = -42.96 eV for the cell shown; ΔH_f (0 K) = -0.43 eV per atom; Fermi-level density of states = 1.114 states/eV per atom
1.0
3.572 0.000 0.000
0.000 6.926 -3.998
0.000 0.000 7.997
Al Ce Sm
6 2 1
direct
0.500 0.334 0.334
0.500 0.666 0.000
0.500 0.000 0.666
0.500 0.666 0.666
0.500 0.000 0.334
0.500 0.334 0.000
0.000 0.667 0.333
0.000 0.333 0.667
0.000 0.000 0.000



Record 2
CeSmAl, optimized geometry, DFT PBE; total DFT energy (no corrections) = -29.93 eV for the cell shown; ΔH_f (0 K) = -0.19 eV per atom; offset from the most stable computed form = 2.5 kJ per mole of atoms; Fermi-level density of states = 1.537 states/eV per atom
1.0
5.590 -0.328 -0.124
-3.153 5.963 0.361
-2.812 -1.397 4.822
Ce Sm Al
2 2 2
direct
0.089 0.704 0.420
0.911 0.296 0.580
0.193 0.259 0.228
0.807 0.741 0.772
0.491 0.792 0.103
0.509 0.208 0.897



Record 3
CeSm7Al4, optimized geometry, DFT PBE; total DFT energy (no corrections) = -54.66 eV for the cell shown; ΔH_f (0 K) = -0.06 eV per atom; Fermi-level density of states = 1.201 states/eV per atom
1.0
5.535 0.000 0.000
2.768 8.812 0.351
2.768 0.632 7.036
Sm Al Ce
7 4 1
direct
0.207 0.120 0.466
0.793 0.880 0.534
0.291 0.652 0.765
0.066 0.608 0.259
0.934 0.392 0.741
0.500 0.000 0.000
0.709 0.348 0.235
0.326 0.332 0.016
0.447 0.759 0.347
0.553 0.241 0.653
0.674 0.668 0.984
0.000 0.000 0.000